Material: RbNaMn2Mo
Method: DFT, GGA-PBE
State: optimized geometry

The structure belongs to space group P4/mmm (No. 123); the cell edges are 4.789, 4.789 and 6.013 Å and the angles 90.00°, 90.00° and 90.00°. Symmetry generates all atoms from Rb at (0.000, 0.000, 0.000), Na at (0.500, 0.500, 0.000), Mn at (0.000, 0.500, 0.500) and Mo at (0.500, 0.500, 0.500).

The energy of formation is 5.30 eV/f.u. The value obtained for the calculated density is 3.8 Mg/m³.